A plane-wave DFT calculation with PBE was carried out for a relaxed structure of NpNi3Ge3.

Values from the calculation:
Total magnetization in μB per cell: 9.35
Calculated formation energy in eV per atom: 0.0666
Calculated volume in Å³/cell: 261.2

Geometry as POSCAR:
```
NpNi3Ge3
1.0
-3.3219 4.7301 -2.7297
-4.3921 -4.2128 -1.9550
-3.2457 0.8597 5.4394
Np Ni Ge
2 6 6
Direct
0.5000 0.5000 0.5000
0.0000 0.0000 0.0000
0.2500 0.0000 0.5000
0.0000 0.5000 0.2500
0.5000 0.7500 0.0000
0.7500 0.0000 0.5000
0.0000 0.5000 0.7500
0.5000 0.2500 0.0000
0.0000 0.2500 0.5000
0.0000 0.7500 0.5000
0.5000 0.0000 0.7500
0.7500 0.5000 0.0000
0.5000 0.0000 0.2500
0.2500 0.5000 0.0000
```

=====

A plane-wave DFT calculation with PBE was carried out for a relaxed structure of DyAg2BO4.

Values from the calculation:
Total magnetization in μB per cell: 0.00
Calculated volume in Å³/cell: 98.3
Formation energy without anion corrections in eV/atom: -1.637

Geometry as POSCAR:
```
DyAg2BO4
1.0
-1.3367 4.9900 1.9885
-2.6028 0.6736 4.2645
2.9339 2.5898 3.1779
Dy Ag B O
1 2 1 4
Direct
0.0000 0.0000 0.0000
0.0000 0.5000 0.5000
0.5000 0.5000 0.5000
0.5000 0.0000 0.0000
0.1950 0.2917 0.0000
0.8050 0.0000 0.7083
0.5133 0.0000 0.2917
0.4867 0.7083 0.0000
```